Nd3SmPb2S | Alexandria via LeMat-Bulk | PBE-GGA | optimized geometry; E_form (uncorrected) = -0.798 eV per atom; SG = Immm (71)
1.0
-2.608 2.635 8.350
2.608 -2.635 8.350
2.608 2.635 -8.350
Nd Sm Pb S
3 1 2 1
direct
0.000 0.000 0.000
0.331 0.831 0.500
0.669 0.169 0.500
0.500 0.500 0.000
0.137 0.637 0.500
0.863 0.363 0.500
0.500 0.000 0.500

NdSmTm5 | Alexandria via LeMat-Bulk | PBE-GGA | optimized geometry; ΔH_f (0 K) = 0.20 eV per atom; SG = C2/c (15)
1.0
5.769 -3.411 0.000
5.769 3.411 0.000
-3.845 0.000 11.365
Nd Sm Tm
2 2 10
direct
0.024 0.976 0.750
0.976 0.024 0.250
0.000 0.500 0.000
0.500 0.000 0.500
0.135 0.422 0.746
0.203 0.640 0.502
0.360 0.797 0.998
0.412 0.588 0.250
0.422 0.135 0.246
0.578 0.865 0.754
0.588 0.412 0.750
0.640 0.203 0.002
0.797 0.360 0.498
0.865 0.578 0.254

LaPm2DySb4 | Alexandria via LeMat-Bulk | PBE-GGA | optimized geometry; E_form (uncorrected) = -1.187 eV per atom; SG = P2/m (10)
1.0
7.791 0.000 0.000
0.000 4.506 0.000
-2.598 0.000 7.352
La Pm Dy Sb
1 2 1 4
direct
0.000 0.000 0.000
0.000 0.500 0.500
0.500 0.000 0.500
0.500 0.500 0.000
0.257 0.000 0.753
0.257 0.500 0.252
0.743 0.000 0.247
0.743 0.500 0.748

Nd6P2IrCl3 | Alexandria via LeMat-Bulk | PBE-GGA | optimized geometry; E_form (uncorrected) = -1.434 eV per atom; SG = C2/m (12)
1.0
9.254 -2.034 0.000
9.254 2.034 0.000
-2.095 0.000 8.436
Nd P Ir Cl
6 2 1 3
direct
0.007 0.007 0.225
0.325 0.325 0.435
0.340 0.340 0.895
0.660 0.660 0.105
0.675 0.675 0.565
0.993 0.993 0.775
0.167 0.167 0.336
0.833 0.833 0.664
0.500 0.500 0.000
0.170 0.170 0.830
0.500 0.500 0.500
0.830 0.830 0.170

FeTeOs2I | Alexandria via LeMat-Bulk | PBE-GGA | optimized geometry; E_form (uncorrected) = 1.738 eV per atom; SG = P4/mmm (123)
1.0
4.576 0.000 0.000
0.000 4.576 0.000
0.000 0.000 4.926
Fe Te Os I
1 1 2 1
direct
0.000 0.000 0.000
0.500 0.500 0.500
0.000 0.500 0.000
0.500 0.000 0.000
0.000 0.000 0.500

Sr2TbPaSe6 | Alexandria via LeMat-Bulk | PBE-GGA | optimized geometry; E_form (uncorrected) = -1.774 eV per atom; SG = P2_1/c (14)
1.0
7.235 0.000 0.000
0.000 7.829 0.000
-7.155 0.000 10.620
Sr Tb Pa Se
4 2 2 12
direct
0.216 0.089 0.248
0.216 0.411 0.748
0.784 0.589 0.252
0.784 0.911 0.752
0.000 0.000 0.500
0.000 0.500 0.000
0.500 0.000 0.000
0.500 0.500 0.500
0.128 0.188 0.939
0.128 0.312 0.439
0.256 0.697 0.936
0.256 0.803 0.436
0.375 0.036 0.754
0.375 0.464 0.254
0.625 0.536 0.746
0.625 0.964 0.246
0.744 0.197 0.564
0.744 0.303 0.064
0.872 0.688 0.561
0.872 0.812 0.061

Li2TcAsN | Alexandria via LeMat-Bulk | PBE-GGA | optimized geometry; E_form (uncorrected) = -0.342 eV per atom; SG = P4/mmm (123)
1.0
3.963 0.000 0.000
0.000 3.963 0.000
0.000 0.000 3.902
Li Tc As N
2 1 1 1
direct
0.000 0.500 0.000
0.500 0.000 0.000
0.000 0.000 0.500
0.500 0.500 0.500
0.000 0.000 0.000

Cd2CoTc | Alexandria via LeMat-Bulk | PBE-GGA | optimized geometry; ΔH_f (0 K) = 0.48 eV per atom; SG = Cmmm (65)
1.0
1.678 -2.172 0.000
1.678 2.172 0.000
0.000 0.000 9.020
Cd Co Tc
2 1 1
direct
0.000 0.000 0.238
0.000 0.000 0.762
0.500 0.500 0.000
0.500 0.500 0.500